(1)
# CdIr2Pt | the Alexandria database | PBE | relaxed
# **Formation enthalpy at 0 K**: 0.16 eV per atom
# **Symmetry**: I-4m2, No. 119
data_CdIr2Pt
_chemical_formula_sum 'Cd1 Ir2 Pt1'
_symmetry_space_group_name_H-M 'P 1'
_symmetry_Int_Tables_number 1
_cell_length_a 4.853
_cell_length_b 4.853
_cell_length_c 4.853
_cell_angle_alpha 131.05
_cell_angle_beta 131.05
_cell_angle_gamma 71.73
loop_
_symmetry_equiv_pos_as_xyz
'x,y,z'
loop_
_atom_site_label
_atom_site_type_symbol
_atom_site_fract_x
_atom_site_fract_y
_atom_site_fract_z
_atom_site_occupancy
Cd1 Cd 0.000 0.000 0.000 1
Ir1 Ir 0.250 0.750 0.500 1
Ir2 Ir 0.500 0.500 0.000 1
Pt1 Pt 0.750 0.250 0.500 1

(2)
# Cd2IrPt | the Alexandria database | PBE | relaxed
# **Formation enthalpy at 0 K**: 0.09 eV per atom
# **Symmetry**: I-4m2, No. 119
data_Cd2IrPt
_chemical_formula_sum 'Cd2 Ir1 Pt1'
_symmetry_space_group_name_H-M 'P 1'
_symmetry_Int_Tables_number 1
_cell_length_a 5.001
_cell_length_b 5.001
_cell_length_c 5.001
_cell_angle_alpha 131.06
_cell_angle_beta 131.06
_cell_angle_gamma 71.71
loop_
_symmetry_equiv_pos_as_xyz
'x,y,z'
loop_
_atom_site_label
_atom_site_type_symbol
_atom_site_fract_x
_atom_site_fract_y
_atom_site_fract_z
_atom_site_occupancy
Cd1 Cd 0.000 0.000 0.000 1
Cd2 Cd 0.750 0.250 0.500 1
Ir1 Ir 0.250 0.750 0.500 1
Pt1 Pt 0.500 0.500 0.000 1

(3)
# Cd2IrPt | the Alexandria database | PBE | relaxed
# **Formation enthalpy at 0 K**: 0.18 eV per atom
# **Symmetry**: Cmm2, No. 35
data_Cd2IrPt
_chemical_formula_sum 'Cd2 Ir1 Pt1'
_symmetry_space_group_name_H-M 'P 1'
_symmetry_Int_Tables_number 1
_cell_length_a 2.881
_cell_length_b 2.881
_cell_length_c 9.894
_cell_angle_alpha 90.00
_cell_angle_beta 90.00
_cell_angle_gamma 120.04
loop_
_symmetry_equiv_pos_as_xyz
'x,y,z'
loop_
_atom_site_label
_atom_site_type_symbol
_atom_site_fract_x
_atom_site_fract_y
_atom_site_fract_z
_atom_site_occupancy
Cd1 Cd 0.000 0.000 0.000 1
Cd2 Cd 0.500 0.500 0.283 1
Ir1 Ir 0.000 0.000 0.525 1
Pt1 Pt 0.500 0.500 0.754 1